(1)
The following is a DFT calculation (PBE-GGA) of a relaxed structure of Er2HfTl2S6.

The uncorrected formation energy is -147.19 kJ per mole of atoms.

The structure belongs to space group C2/m (No. 12); the cell edges are 6.7293, 11.6031 and 7.9429 Å and the angles 90.00°, 106.77° and 90.00°. The inequivalent atoms are Er at (0.0000, 0.1671, 0.0000), Hf at (0.0000, 0.5000, 0.0000), Tl at (0.0000, 0.3308, 0.5000), S at (0.2238, 0.3416, 0.1911) and S at (0.2494, 0.5000, 0.8078).

(2)
The following is a DFT calculation (PBE-GGA) of a relaxed structure of Er4HfSb5.

The uncorrected formation energy is -90.06 kJ per mole of atoms.

The structure belongs to space group I4/mmm (No. 139); the cell edges are 4.2987, 4.2987 and 30.3591 Å and the angles 90.00°, 90.00° and 90.00°. The inequivalent atoms are Er at (0.0000, 0.0000, 0.0999), Er at (0.0000, 0.0000, 0.3016), Hf at (0.0000, 0.0000, 0.5000), Sb at (0.0000, 0.0000, 0.0000), Sb at (0.0000, 0.0000, 0.2002) and Sb at (0.0000, 0.0000, 0.4036).

(3)
The following is a DFT calculation (PBE-GGA) of a relaxed structure of ErHf3Sb6.

The uncorrected formation energy is -36.80 kJ per mole of atoms.

The structure belongs to space group P2_1/m (No. 11); the cell edges are 11.9898, 4.0583 and 12.6228 Å and the angles 90.00°, 116.94° and 90.00°. The inequivalent atoms are Er at (0.0803, 0.2500, 0.2030), Hf at (0.1476, 0.2500, 0.5498), Hf at (0.3130, 0.7500, 0.9929), Hf at (0.4704, 0.2500, 0.3449), Sb at (0.0452, 0.7500, 0.3709), Sb at (0.1244, 0.2500, 0.9629), Sb at (0.2224, 0.7500, 0.7402), Sb at (0.2815, 0.7500, 0.2199), Sb at (0.3551, 0.2500, 0.5029) and Sb at (0.4992, 0.7500, 0.8735).

(4)
The following is a DFT calculation (PBE-GGA) of a relaxed structure of ErHfSb3.

The uncorrected formation energy is -59.88 kJ per mole of atoms.

The structure belongs to space group Pbcm (No. 57); the cell edges are 13.0433, 6.3476 and 6.3151 Å and the angles 90.00°, 90.00° and 90.00°. The inequivalent atoms are Er at (0.1788, 0.0134, 0.2500), Hf at (0.4055, 0.7500, 0.0000), Sb at (0.0037, 0.7500, 0.0000), Sb at (0.2550, 0.5055, 0.2500) and Sb at (0.4167, 0.1257, 0.2500).

(5)
The following is a DFT calculation (PBE-GGA) of a relaxed structure of Sm2ErHfSb4.

The uncorrected formation energy is -92.51 kJ per mole of atoms.

The structure belongs to space group P2/m (No. 10); the cell edges are 7.5131, 4.3378 and 7.5193 Å and the angles 90.00°, 109.32° and 90.00°. The inequivalent atoms are Sm at (0.0000, 0.0000, 0.0000), Sm at (0.5000, 0.5000, 0.0000), Er at (0.0000, 0.5000, 0.5000), Hf at (0.5000, 0.0000, 0.5000), Sb at (0.2530, 0.0000, 0.7361) and Sb at (0.2636, 0.5000, 0.2690).

(6)
The following is a DFT calculation (PBE-GGA) of a relaxed structure of Tb2ErHfSb4.

The uncorrected formation energy is -91.07 kJ per mole of atoms.

The structure belongs to space group P2/m (No. 10); the cell edges are 7.4559, 4.3034 and 7.4573 Å and the angles 90.00°, 109.31° and 90.00°. The inequivalent atoms are Tb at (0.0000, 0.0000, 0.0000), Tb at (0.5000, 0.5000, 0.0000), Er at (0.0000, 0.5000, 0.5000), Hf at (0.5000, 0.0000, 0.5000), Sb at (0.2544, 0.0000, 0.7408) and Sb at (0.2618, 0.5000, 0.2642).

(7)
The following is a DFT calculation (PBE-GGA) of a relaxed structure of ErTm2HfSb4.

The uncorrected formation energy is -86.83 kJ per mole of atoms.

The structure belongs to space group P2/m (No. 10); the cell edges are 7.4005, 4.2688 and 7.4009 Å and the angles 90.00°, 109.28° and 90.00°. The inequivalent atoms are Er at (0.0000, 0.0000, 0.0000), Tm at (0.5000, 0.0000, 0.5000), Tm at (0.5000, 0.5000, 0.0000), Hf at (0.0000, 0.5000, 0.5000), Sb at (0.2408, 0.0000, 0.7400) and Sb at (0.2458, 0.5000, 0.2558).

(8)
The following is a DFT calculation (PBE-GGA) of a relaxed structure of ErHf2Sc6.

The formation energy is 49 meV/atom.

The structure belongs to space group P-6m2 (No. 187); the cell edges are 3.2884, 3.2884 and 23.7734 Å and the angles 90.00°, 90.00° and 120.00°. The inequivalent atoms are Er at (0.0000, 0.0000, 0.0000), Hf at (0.3333, 0.6667, 0.3321), Sc at (0.0000, 0.0000, 0.2266), Sc at (0.0000, 0.0000, 0.4356) and Sc at (0.3333, 0.6667, 0.1163).

(9)
The following is a DFT calculation (PBE-GGA) of a relaxed structure of ErHf3Sc7.

The formation energy is 286 meV/atom.

The structure belongs to space group P3m1 (No. 156); the cell edges are 6.4312, 6.4312 and 7.7692 Å and the angles 90.00°, 90.00° and 120.00°. The inequivalent atoms are Er at (0.0000, 0.0000, 0.0000), Hf at (0.1681, 0.3363, 0.6616), Sc at (0.0023, 0.5011, 0.9856), Sc at (0.3335, 0.1667, 0.3457) and Sc at (0.3333, 0.6667, 0.3328).

(10)
The following is a DFT calculation (PBE-GGA) of a relaxed structure of ErHfSc6.

The calculation puts the energy relative to the lowest polymorph listed for this composition at 32 meV/atom. The formation energy is 59 meV/atom.

The structure belongs to space group Cmmm (No. 65); the cell edges are 9.3421, 9.3524 and 4.5218 Å and the angles 90.00°, 90.00° and 90.00°. The inequivalent atoms are Er at (0.0000, 0.0000, 0.0000), Hf at (0.0000, 0.5000, 0.0000), Sc at (0.0000, 0.2616, 0.5000), Sc at (0.2382, 0.5000, 0.5000) and Sc at (0.2500, 0.2500, 0.0000).

(11)
The following is a DFT calculation (PBE-GGA) of a relaxed structure of ErHfSc2.

The calculation puts the energy relative to the lowest polymorph listed for this composition at 5 meV/atom. The formation energy is 65 meV/atom.

The structure belongs to space group P2/m (No. 10); the cell edges are 3.2624, 3.2585 and 9.4049 Å and the angles 90.00°, 90.07° and 90.00°. The inequivalent atoms are Er at (0.0000, 0.0000, 0.0000), Hf at (0.0000, 0.0000, 0.5000) and Sc at (0.4995, 0.5000, 0.2696).

(12)
The following is a DFT calculation (PBE-GGA) of a relaxed structure of Er2HfSc8.

The formation energy is 202 meV/atom.

The structure belongs to space group C2/m (No. 12); the cell edges are 8.3086, 14.9303 and 5.3306 Å and the angles 90.00°, 121.96° and 90.00°. The inequivalent atoms are Er at (0.0000, 0.1933, 0.0000), Hf at (0.0000, 0.5000, 0.5000), Sc at (0.0000, 0.2985, 0.5000), Sc at (0.0781, 0.0000, 0.2976) and Sc at (0.2089, 0.3883, 0.1697).

no.,total DFT energy (no corrections) (eV per cell)
1,-130.71
2,-116.30
3,-125.94
4,-119.95
5,-48.11
6,-47.82
7,-47.15
8,-62.02
9,-75.60
10,-104.07
11,-26.92
12,-135.01